No. 1
# Ti3MoW

Ti3MoW after structural relaxation (GGA-PBEsol, Alexandria via LeMat-Bulk).

Structure (POSCAR):
```
Ti3MoW
1.0
4.614 0.000 0.000
0.000 4.614 0.000
0.000 0.000 4.614
Ti Mo W
3 1 1
direct
0.000 0.000 0.500 Ti
0.000 0.500 0.000 Ti
0.500 0.000 0.000 Ti
0.500 0.500 0.500 Mo
0.000 0.000 0.000 W
```

Values from the calculation:
As for the space group: Pm-3m (221). The calculation puts the size of the total moment at 0.54 Bohr magnetons per cell. For the formation energy, the calculation gives 1.345 eV per atom. Its calculated total energy is -8.76 eV/atom.

No. 2
# TeAs2O2

TeAs2O2 after structural relaxation (GGA-PBEsol, Alexandria via LeMat-Bulk).

Structure (POSCAR):
```
TeAs2O2
1.0
3.636 0.000 0.000
0.000 3.636 0.000
0.000 0.000 11.686
Te As O
2 4 4
direct
0.000 0.000 0.000 Te
0.500 0.500 0.500 Te
0.000 0.000 0.344 As
0.000 0.000 0.656 As
0.500 0.500 0.156 As
0.500 0.500 0.844 As
0.000 0.500 0.250 O
0.000 0.500 0.750 O
0.500 0.000 0.250 O
0.500 0.000 0.750 O
```

Values from the calculation:
As for the space group: I4/mmm (139). The calculation puts the size of the total moment at 0.00 Bohr magnetons per cell. Its calculated total energy is -5.31 eV/atom. The formation energy from raw total energies comes out at -0.4650 eV per atom.

No. 3
# AgBr

AgBr after structural relaxation (GGA-PBEsol, Alexandria via LeMat-Bulk).

Structure (POSCAR):
```
AgBr
1.0
4.252 0.000 0.000
-2.126 3.682 0.000
0.000 0.000 6.834
Ag Br
2 2
direct
0.333 0.667 0.118 Ag
0.667 0.333 0.882 Ag
0.333 0.667 0.718 Br
0.667 0.333 0.282 Br
```

Values from the calculation:
As for the space group: P-3m1 (164). The calculation puts the size of the total moment at 0.00 Bohr magnetons per cell. Its calculated total energy is -2.84 eV/atom. The formation energy from raw total energies comes out at -0.2478 eV per atom.

No. 4
# Y4TaP

Y4TaP after structural relaxation (GGA-PBEsol, Alexandria via LeMat-Bulk).

Structure (POSCAR):
```
Y4TaP
1.0
0.000 4.190 4.190
4.190 0.000 4.190
4.190 4.190 0.000
Y Ta P
4 1 1
direct
0.123 0.123 0.123 Y
0.123 0.123 0.630 Y
0.123 0.630 0.123 Y
0.630 0.123 0.123 Y
0.750 0.750 0.750 Ta
0.500 0.500 0.500 P
```

Values from the calculation:
As for the space group: F-43m (216). The calculation puts the size of the total moment at 0.00 Bohr magnetons per cell. For the formation energy, the calculation gives 0.796 eV per atom. Its calculated total energy is -6.81 eV/atom.

No. 5
# AlTcNi3

AlTcNi3 after structural relaxation (GGA-PBEsol, Alexandria via LeMat-Bulk).

Structure (POSCAR):
```
AlTcNi3
1.0
4.374 0.000 0.000
0.000 4.374 0.000
0.000 0.000 4.374
Al Tc Ni
1 1 3
direct
0.000 0.000 0.000 Al
0.500 0.500 0.500 Tc
0.000 0.500 0.500 Ni
0.500 0.000 0.500 Ni
0.500 0.500 0.000 Ni
```

Values from the calculation:
As for the space group: Pm-3m (221). The calculation puts the size of the total moment at 0.00 Bohr magnetons per cell. For the formation energy, the calculation gives 1.299 eV per atom. Its calculated total energy is -5.47 eV/atom.

No. 6
# CrAgMo

CrAgMo after structural relaxation (GGA-PBEsol, Alexandria via LeMat-Bulk).

Structure (POSCAR):
```
CrAgMo
1.0
4.416 0.000 0.000
-2.208 3.824 0.000
0.000 0.000 2.545
Cr Ag Mo
1 1 1
direct
0.000 0.000 0.000 Cr
0.667 0.333 0.693 Ag
0.333 0.667 0.273 Mo
```

Values from the calculation:
As for the space group: P3m1 (156). The calculation puts the size of the total moment at 0.08 Bohr magnetons per cell. For the formation energy, the calculation gives 0.564 eV per atom. Its calculated total energy is -7.88 eV/atom.

No. 7
# La3GaBr

La3GaBr after structural relaxation (GGA-PBEsol, Alexandria via LeMat-Bulk).

Structure (POSCAR):
```
La3GaBr
1.0
5.712 0.000 0.000
0.000 5.712 0.000
0.000 0.000 5.712
La Ga Br
3 1 1
direct
0.000 0.000 0.500 La
0.000 0.500 0.000 La
0.500 0.000 0.000 La
0.000 0.000 0.000 Ga
0.500 0.500 0.500 Br
```

Values from the calculation:
As for the space group: Pm-3m (221). The calculation puts the size of the total moment at 0.86 Bohr magnetons per cell. Its calculated total energy is -4.36 eV/atom. The formation energy from raw total energies comes out at -0.1131 eV per atom.

No. 8
# Ni2MoPb

Ni2MoPb after structural relaxation (GGA-PBEsol, Alexandria via LeMat-Bulk).

Structure (POSCAR):
```
Ni2MoPb
1.0
2.930 0.000 0.000
-1.465 2.537 0.000
0.000 0.000 25.198
Ni Mo Pb
6 3 3
direct
0.000 0.000 0.242 Ni
0.000 0.000 0.758 Ni
0.333 0.667 0.424 Ni
0.333 0.667 0.909 Ni
0.667 0.333 0.091 Ni
0.667 0.333 0.576 Ni
0.000 0.000 0.500 Mo
0.333 0.667 0.167 Mo
0.667 0.333 0.833 Mo
0.000 0.000 0.000 Pb
0.333 0.667 0.667 Pb
0.667 0.333 0.333 Pb
```

Values from the calculation:
As for the space group: R-3m (166). The calculation puts the size of the total moment at 0.00 Bohr magnetons per cell. For the formation energy, the calculation gives 0.519 eV per atom. Its calculated total energy is -6.50 eV/atom.

No. 9
# ZnFe2Os

ZnFe2Os after structural relaxation (GGA-PBEsol, Alexandria via LeMat-Bulk).

Structure (POSCAR):
```
ZnFe2Os
1.0
2.804 0.000 0.000
0.000 4.212 0.000
0.000 0.000 8.323
Zn Fe Os
2 4 2
direct
0.000 0.000 0.000 Zn
0.500 0.500 0.500 Zn
0.000 0.000 0.481 Fe
0.000 0.500 0.753 Fe
0.500 0.000 0.253 Fe
0.500 0.500 0.981 Fe
0.000 0.500 0.230 Os
0.500 0.000 0.730 Os
```

Values from the calculation:
As for the space group: Imm2 (44). The calculation puts the size of the total moment at 9.37 Bohr magnetons per cell. For the formation energy, the calculation gives 0.167 eV per atom. Its calculated total energy is -7.76 eV/atom.

No. 10
# SrLaPt2

SrLaPt2 after structural relaxation (GGA-PBEsol, Alexandria via LeMat-Bulk).

Structure (POSCAR):
```
SrLaPt2
1.0
5.090 0.000 0.000
0.000 5.090 0.000
0.000 0.000 3.589
Sr La Pt
1 1 2
direct
0.000 0.000 0.000 Sr
0.500 0.500 0.000 La
0.000 0.500 0.500 Pt
0.500 0.000 0.500 Pt
```

Values from the calculation:
As for the space group: P4/mmm (123). The calculation puts the size of the total moment at 0.00 Bohr magnetons per cell. The relative energy among the computed polymorphs comes out at 0.0529 eV/atom. For the formation energy, the calculation gives -0.855 eV per atom. Its calculated total energy is -6.13 eV/atom.

No. 11
# Os3Cl

Os3Cl after structural relaxation (GGA-PBEsol, Alexandria via LeMat-Bulk).

Structure (POSCAR):
```
Os3Cl
1.0
2.792 0.000 0.000
0.000 4.537 0.000
0.000 0.000 8.836
Os Cl
6 2
direct
0.000 0.000 0.000 Os
0.000 0.500 0.234 Os
0.000 0.500 0.766 Os
0.500 0.000 0.266 Os
0.500 0.000 0.734 Os
0.500 0.500 0.500 Os
0.000 0.000 0.500 Cl
0.500 0.500 0.000 Cl
```

Values from the calculation:
As for the space group: Immm (71). The calculation puts the size of the total moment at 0.00 Bohr magnetons per cell. The relative energy among the computed polymorphs comes out at 0.6166 eV/atom. Its calculated total energy is -8.54 eV/atom. The formation energy from raw total energies comes out at 1.1234 eV per atom.

No. 12
# KTcN2

KTcN2 after structural relaxation (GGA-PBEsol, Alexandria via LeMat-Bulk).

Structure (POSCAR):
```
KTcN2
1.0
5.608 0.000 0.000
0.000 5.608 0.000
0.000 0.000 5.608
K Tc N
4 4 8
direct
0.000 0.000 0.000 K
0.000 0.500 0.500 K
0.500 0.000 0.500 K
0.500 0.500 0.000 K
0.000 0.000 0.500 Tc
0.000 0.500 0.000 Tc
0.500 0.000 0.000 Tc
0.500 0.500 0.500 Tc
0.250 0.250 0.250 N
0.250 0.250 0.750 N
0.250 0.750 0.250 N
0.250 0.750 0.750 N
0.750 0.250 0.250 N
0.750 0.250 0.750 N
0.750 0.750 0.250 N
0.750 0.750 0.750 N
```

Values from the calculation:
As for the space group: Fm-3m (225). The calculation puts the size of the total moment at 5.70 Bohr magnetons per cell. The relative energy among the computed polymorphs comes out at 1.7590 eV/atom. Its calculated total energy is -5.89 eV/atom. The formation energy from raw total energies comes out at 1.4754 eV per atom.

No. 13
# CrNiP2S

CrNiP2S after structural relaxation (GGA-PBEsol, Alexandria via LeMat-Bulk).

Structure (POSCAR):
```
CrNiP2S
1.0
4.227 0.000 0.000
0.000 4.227 0.000
0.000 0.000 4.633
Cr Ni P S
1 1 2 1
direct
0.000 0.000 0.000 Cr
0.500 0.500 0.500 Ni
0.000 0.500 0.500 P
0.500 0.000 0.500 P
0.500 0.500 0.000 S
```

Values from the calculation:
As for the space group: P4/mmm (123). The calculation puts the size of the total moment at 3.21 Bohr magnetons per cell. Its calculated total energy is -5.86 eV/atom. The formation energy from raw total energies comes out at 0.6125 eV per atom.

No. 14
# Tl2CdCu

Tl2CdCu after structural relaxation (GGA-PBEsol, Alexandria via LeMat-Bulk).

Structure (POSCAR):
```
Tl2CdCu
1.0
3.626 0.000 0.000
0.000 4.049 0.000
-1.046 0.000 6.070
Tl Cd Cu
2 1 1
direct
0.098 0.000 0.268 Tl
0.902 0.000 0.732 Tl
0.500 0.500 0.000 Cd
0.500 0.500 0.500 Cu
```

Values from the calculation:
As for the space group: P2/m (10). The calculation puts the size of the total moment at 0.00 Bohr magnetons per cell. The relative energy among the computed polymorphs comes out at 0.0760 eV/atom. For the formation energy, the calculation gives 0.253 eV per atom. Its calculated total energy is -2.44 eV/atom.

No. 15
# RuRhAu2

RuRhAu2 after structural relaxation (GGA-PBEsol, Alexandria via LeMat-Bulk).

Structure (POSCAR):
```
RuRhAu2
1.0
6.270 0.000 0.000
0.000 6.270 0.000
0.000 0.000 6.270
Ru Rh Au
4 4 8
direct
0.000 0.000 0.000 Ru
0.000 0.500 0.500 Ru
0.500 0.000 0.500 Ru
0.500 0.500 0.000 Ru
0.250 0.250 0.750 Rh
0.250 0.750 0.250 Rh
0.750 0.250 0.250 Rh
0.750 0.750 0.750 Rh
0.000 0.000 0.500 Au
0.000 0.500 0.000 Au
0.250 0.250 0.250 Au
0.250 0.750 0.750 Au
0.500 0.000 0.000 Au
0.500 0.500 0.500 Au
0.750 0.250 0.750 Au
0.750 0.750 0.250 Au
```

Values from the calculation:
As for the space group: F-43m (216). The calculation puts the size of the total moment at 6.26 Bohr magnetons per cell. For the formation energy, the calculation gives 0.484 eV per atom. Its calculated total energy is -6.06 eV/atom.